Density functional theory data (GGA-PBE) for an optimized crystal structure of TbYTh2.

Summary:
- Formation energy: 0.152 eV per atom
- D(E_F): 6.07 states/eV/f.u.

The structure in extended XYZ format:
```
4
Lattice="5.670 0.000 0.000 2.835 4.911 0.000 2.835 1.637 4.630" Properties=species:S:1:pos:R:3 pbc="T T T"
Tb 0.000 0.000 0.000
Th 8.505 4.911 3.472
Th 2.835 1.637 1.157
Y 5.670 3.274 2.315
```


Density functional theory data (GGA-PBE) for an optimized crystal structure of Tb3Y5Th3.

Summary:
- Formation energy: 0.380 eV per atom
- D(E_F): 21.24 states/eV/f.u.

The structure in extended XYZ format:
```
11
Lattice="-0.633 0.050 -3.380 4.858 -10.022 -1.058 -10.972 0.707 2.066" Properties=species:S:1:pos:R:3 pbc="T T T"
Tb 3.761 -8.388 -2.578
Tb -9.527 0.619 0.045
Tb -1.298 -1.471 -1.528
Y -4.066 0.267 -0.984
Y -4.341 -6.106 -1.026
Y -6.012 -2.844 -0.665
Y -0.735 -6.420 -1.706
Y -9.628 -2.692 0.015
Th -7.209 0.474 -2.141
Th 2.912 -6.007 -0.634
Th -2.449 -3.732 0.404
```


Density functional theory data (GGA-PBE) for an optimized crystal structure of Tb6Y5Th.

Summary:
- Formation energy: 0.028 eV per atom
- D(E_F): 17.78 states/eV/f.u.

The structure in extended XYZ format:
```
12
Lattice="9.297 1.123 -1.276 -3.947 8.491 -1.281 -0.571 -1.023 4.906" Properties=species:S:1:pos:R:3 pbc="T T T"
Th 0.000 0.000 0.000
Y 6.824 1.828 1.176
Y 4.885 3.577 -1.278
Y 0.465 6.036 -1.279
Y 2.389 4.295 1.174
Y -2.046 6.763 1.173
Tb -0.992 3.351 0.584
Tb 3.885 6.982 -0.683
Tb 5.771 5.240 1.765
Tb 1.408 7.667 1.764
Tb 0.894 1.609 3.032
Tb 3.371 0.924 0.585
```


Density functional theory data (GGA-PBE) for an optimized crystal structure of Tb2YTh.

Summary:
- Formation energy: 0.061 eV per atom
- D(E_F): 6.72 states/eV/f.u.

The structure in extended XYZ format:
```
8
Lattice="-3.365 -0.742 -0.792 -0.232 -3.635 4.386 -5.637 9.217 7.337" Properties=species:S:1:pos:R:3 pbc="T T T"
Tb -3.996 1.602 7.477
Tb -4.679 -1.199 5.120
Tb -5.493 7.314 8.424
Tb -6.175 4.514 6.066
Th -2.518 0.106 2.610
Th -2.016 -3.208 3.597
Y -5.050 4.141 9.521
Y -5.122 1.976 4.022
```


Density functional theory data (GGA-PBE) for an optimized crystal structure of TbY6Th8.

Summary:
- Formation energy: 0.136 eV per atom
- D(E_F): 27.76 states/eV/f.u.

The structure in extended XYZ format:
```
15
Lattice="7.678 0.000 4.421 2.566 7.236 4.421 0.026 0.018 8.832" Properties=species:S:1:pos:R:3 pbc="T T T"
Th 7.195 5.827 10.123
Th 7.632 2.421 10.581
Th 3.074 1.427 7.552
Th 4.355 3.077 10.190
Th 3.778 6.385 9.974
Th 2.637 4.834 7.094
Th 5.914 4.178 7.484
Th 6.491 0.870 7.701
Y 8.356 3.378 13.896
Y 5.463 5.299 13.011
Y 2.254 0.507 2.605
Y 4.806 1.955 4.664
Y 8.014 6.747 15.070
Y 1.913 3.876 3.779
Tb 0.000 0.000 0.000
```


Density functional theory data (GGA-PBE) for an optimized crystal structure of Tb2Y5Th2.

Summary:
- Formation energy: 0.292 eV per atom
- D(E_F): 14.15 states/eV/f.u.

The structure in extended XYZ format:
```
9
Lattice="3.422 0.000 -0.706 -0.449 7.938 -2.176 0.789 -2.615 12.474" Properties=species:S:1:pos:R:3 pbc="T T T"
Tb 0.744 0.328 3.608
Tb 3.018 4.995 5.984
Y 0.000 0.000 0.000
Y 2.308 5.588 2.540
Y 1.455 -0.265 7.052
Y 0.250 3.085 1.212
Y 3.512 2.238 8.380
Th 2.127 -0.323 10.311
Th 1.635 5.646 -0.719
```


Density functional theory data (GGA-PBE) for an optimized crystal structure of Tb8YTh2.

Summary:
- Formation energy: 0.196 eV per atom
- D(E_F): 17.17 states/eV/f.u.

The structure in extended XYZ format:
```
11
Lattice="-1.760 2.028 -4.913 -2.094 -9.497 -2.737 -7.660 -6.571 0.464" Properties=species:S:1:pos:R:3 pbc="T T T"
Tb -6.177 -9.319 -5.792
Tb -5.763 -5.732 -4.781
Tb -2.782 -6.065 -2.863
Tb -9.327 -11.579 -5.633
Tb -2.187 -2.462 -1.553
Tb -5.337 -4.722 -1.394
Tb -5.751 -8.308 -2.405
Tb -8.732 -7.976 -4.323
Th -7.471 -11.009 -2.928
Th -4.043 -3.032 -4.258
Y 0.000 0.000 0.000
```


Density functional theory data (GGA-PBE) for an optimized crystal structure of TbYTh2.

Summary:
- Formation energy: 0.053 eV per atom
- D(E_F): 6.17 states/eV/f.u.

The structure in extended XYZ format:
```
4
Lattice="5.116 0.000 0.000 0.000 5.019 0.000 0.000 0.000 5.019" Properties=species:S:1:pos:R:3 pbc="T T T"
Tb 2.558 2.510 2.510
Th 0.000 2.510 0.000
Th 0.000 0.000 2.510
Y 2.558 0.000 0.000
```